Material: ZrMnAs2
Method: DFT, GGA-PBE
State: optimized geometry

Cell and atoms, written as POSCAR:
```
ZrMnAs2
1.0
-1.922 1.922 4.866
1.922 -1.922 4.866
1.922 1.922 -4.866
Zr Mn As
1 1 2
Cartesian
0.000 0.000 0.000 Zr
0.000 1.922 2.433 Mn
1.922 0.000 2.433 As
0.000 0.000 4.866 As
```

Computed properties:
energy of formation	-358	meV per atom
theoretical density	6.8	g/cm3
E	-7.11	eV per atom